Below is crystalline K3SmSc2Se6 at its relaxed geometry, with properties calculated at the PBE level.

The structure in POSCAR format:
```
K3SmSc2Se6
1.0
7.1217 -0.0019 -0.0016
-3.5608 6.1676 -0.0016
-1.1893 -2.0592 7.6503
K Sm Sc Se
3 1 2 6
Cartesian
-2.4105 4.1302 3.8235 K
4.7821 -0.0238 3.8235 K
1.1858 2.0532 3.8235 K
0.0000 0.0000 0.0000 Sm
-0.0044 4.1136 -0.0016 Sc
3.5653 2.0520 -0.0016 Sc
3.6185 1.9459 6.1198 Se
2.3135 4.0059 1.5200 Se
-1.2469 2.1605 1.5272 Se
-0.1229 4.1067 6.1198 Se
0.0581 0.1005 6.1270 Se
2.4945 -0.0003 1.5272 Se
```

Output
**Total moment**: 0.000 μB per atom
**Uncorrected energy**: -5.1229 eV/atom

Below is crystalline DyNpBiO2 at its relaxed geometry, with properties calculated at the PBE level.

The structure in POSCAR format:
```
DyNpBiO2
1.0
-0.8776 3.7325 -0.8462
-3.1057 -0.1872 2.3953
5.6986 0.2240 4.1880
Dy Np Bi O
1 1 1 2
Cartesian
0.5202 3.1256 4.1372 Dy
1.1934 0.6428 1.5976 Np
-1.9882 1.7745 0.7791 Bi
1.4138 2.8641 2.0569 O
0.2997 0.9043 3.6777 O
```

Output
**Total moment**: 0.714 μB per atom
**Uncorrected energy**: -8.5832 eV/atom

Below is crystalline Nb6Ge2H at its relaxed geometry, with properties calculated at the PBE level.

The structure in POSCAR format:
```
Nb6Ge2H
1.0
-1.0384 -0.0472 -5.3124
-5.7445 -2.2792 1.1431
-3.0262 7.8921 0.5282
Nb Ge H
12 4 2
Cartesian
-7.2926 -0.2900 -3.4187 Nb
-6.5762 2.5319 -3.5082 Nb
-7.9924 5.9611 -3.3039 Nb
-3.5359 3.6513 -2.7915 Nb
-4.7912 7.1443 -2.6193 Nb
-4.1461 0.8452 -2.6207 Nb
-2.5165 5.8558 -0.2224 Nb
-3.2329 3.0338 -0.1329 Nb
-1.8167 -0.3953 -0.3371 Nb
-6.2732 1.9144 -0.8496 Nb
-5.0179 -1.5786 -1.0218 Nb
-5.6630 4.7205 -1.0204 Nb
-5.5782 4.9552 -3.9335 Ge
-8.1184 3.7968 -1.7305 Ge
-1.6907 1.7689 -1.9106 Ge
-4.2309 0.6105 0.2924 Ge
-3.3915 -1.1632 -2.0847 H
-1.5131 3.9460 0.2641 H
```

Output
**Total moment**: 0.000 μB per atom
**Uncorrected energy**: -8.3988 eV/atom

Which formula does entry 1 have?
K3SmSc2Se6